Record 1
The following is a DFT calculation (PBE) of crystalline BaSnPb2Br at its relaxed geometry.

Summary:
The total energy comes out at -13.23 eV per cell. The formation energy without anion corrections comes out at 0.356 eV per atom. The total magnetization comes out at 0.000 μB/cell. The calculation puts the calculated volume at 252 Å³ per cell.

Unit cell a=6.558 b=5.853 c=6.558 alpha=90.00 beta=90.00 gamma=90.00
Fractional coordinates of all 5 atoms:
Sn  0.500  0.500  0.500
Ba  0.000  0.000  0.000
Pb  0.000  0.000  0.500
Pb  0.500  0.000  0.000
Br  0.000  0.500  0.000

=====

Record 2
The following is a DFT calculation (PBE) of crystalline BaSnPb2Br8 at its relaxed geometry.

Summary:
The total energy comes out at -40.85 eV per cell. The formation energy without anion corrections comes out at -1.177 eV per atom. The total magnetization comes out at 0.000 μB/cell. The calculation puts the calculated volume at 478 Å³ per cell.

Unit cell a=7.296 b=7.023 c=9.323 alpha=90.00 beta=90.00 gamma=89.67
Fractional coordinates of all 12 atoms:
Br  0.160  0.757  0.767
Br  0.665  0.743  0.000
Br  0.160  0.757  0.233
Br  0.641  0.730  0.500
Br  0.359  0.270  0.500
Br  0.335  0.257  0.000
Br  0.840  0.243  0.233
Br  0.840  0.243  0.767
Ba  0.000  0.000  0.500
Sn  0.000  0.000  0.000
Pb  0.500  0.500  0.242
Pb  0.500  0.500  0.758

=====

Record 3
The following is a DFT calculation (PBE) of crystalline BaSnPbBr6 at its relaxed geometry.

Summary:
The total energy comes out at -62.16 eV per cell. The formation energy without anion corrections comes out at -1.267 eV per atom. The total magnetization comes out at 0.000 μB/cell. The calculation puts the calculated volume at 744 Å³ per cell.

Unit cell a=7.262 b=7.262 c=14.111 alpha=90.00 beta=90.00 gamma=90.00
Fractional coordinates of all 18 atoms:
Br  0.314  0.314  0.002
Br  0.706  0.706  0.676
Br  0.186  0.814  0.502
Br  0.701  0.701  0.322
Br  0.686  0.686  0.002
Br  0.799  0.201  0.822
Br  0.794  0.206  0.176
Br  0.814  0.186  0.502
Br  0.299  0.299  0.322
Br  0.201  0.799  0.822
Br  0.294  0.294  0.676
Br  0.206  0.794  0.176
Ba  0.000  0.000  0.000
Ba  0.500  0.500  0.500
Sn  0.000  0.000  0.668
Sn  0.500  0.500  0.168
Pb  0.500  0.500  0.832
Pb  0.000  0.000  0.332

=====

Record 4
The following is a DFT calculation (PBE) of crystalline BaTlSnPbBr at its relaxed geometry.

Summary:
The total energy comes out at -34.12 eV per cell. The formation energy without anion corrections comes out at -0.677 eV per atom. The total magnetization comes out at 0.000 μB/cell. The energy above the most stable polymorph in this dataset comes out at 46 meV/atom. The calculation puts the calculated volume at 358 Å³ per cell.

Unit cell a=4.090 b=4.184 c=20.946 alpha=90.00 beta=90.00 gamma=90.00
Fractional coordinates of all 10 atoms:
Pb  0.500  0.500  0.497
Pb  0.000  0.000  0.997
Ba  0.000  0.000  0.181
Ba  0.500  0.500  0.681
Sn  0.500  0.500  0.063
Sn  0.000  0.000  0.563
Br  0.000  0.000  0.758
Br  0.500  0.500  0.258
Tl  0.500  0.500  0.904
Tl  0.000  0.000  0.404

=====

Record 5
The following is a DFT calculation (PBE) of crystalline BaTlSnPbBr at its relaxed geometry.

Summary:
The total energy comes out at -51.69 eV per cell. The formation energy without anion corrections comes out at -0.711 eV per atom. The total magnetization comes out at 0.000 μB/cell. The energy above the most stable polymorph in this dataset comes out at 12 meV/atom. The calculation puts the calculated volume at 576 Å³ per cell.

Unit cell a=4.875 b=4.875 c=27.986 alpha=90.00 beta=90.00 gamma=120.00
Fractional coordinates of all 15 atoms:
Sn  0.000  0.000  0.674
Sn  0.333  0.667  0.341
Sn  0.667  0.333  0.008
Pb  0.333  0.667  0.963
Pb  0.000  0.000  0.296
Pb  0.667  0.333  0.629
Br  0.667  0.333  0.812
Br  0.000  0.000  0.479
Br  0.333  0.667  0.146
Ba  0.000  0.000  0.081
Ba  0.667  0.333  0.414
Ba  0.333  0.667  0.748
Tl  0.667  0.333  0.234
Tl  0.000  0.000  0.901
Tl  0.333  0.667  0.568

=====

Record 6
The following is a DFT calculation (PBE) of crystalline BaTlSnPbBr at its relaxed geometry.

Summary:
The total energy comes out at -34.09 eV per cell. The formation energy without anion corrections comes out at -0.674 eV per atom. The total magnetization comes out at 0.000 μB/cell. The energy above the most stable polymorph in this dataset comes out at 49 meV/atom. The calculation puts the calculated volume at 406 Å³ per cell.

Unit cell a=11.031 b=4.695 c=8.098 alpha=90.00 beta=104.30 gamma=90.00
Fractional coordinates of all 10 atoms:
Tl  0.476  0.500  0.961
Tl  0.476  0.000  0.461
Pb  0.666  0.000  0.191
Pb  0.666  0.500  0.691
Br  0.200  0.500  0.205
Br  0.200  0.000  0.705
Ba  0.025  0.500  0.812
Ba  0.025  0.000  0.312
Sn  0.800  0.000  0.570
Sn  0.800  0.500  0.070

=====

Record 7
The following is a DFT calculation (PBE) of crystalline BaTlSnPbBr at its relaxed geometry.

Summary:
The total energy comes out at -17.19 eV per cell. The formation energy without anion corrections comes out at -0.704 eV per atom. The total magnetization comes out at 0.000 μB/cell. The energy above the most stable polymorph in this dataset comes out at 19 meV/atom. The calculation puts the calculated volume at 205 Å³ per cell.

Unit cell a=4.762 b=4.762 c=10.454 alpha=90.00 beta=90.00 gamma=120.00
Fractional coordinates of all 5 atoms:
Br  0.333  0.667  0.685
Tl  0.667  0.333  0.966
Sn  0.667  0.333  0.293
Pb  0.000  0.000  0.157
Ba  0.000  0.000  0.518

=====

Record 8
The following is a DFT calculation (PBE) of crystalline BaTlSnPbBr at its relaxed geometry.

Summary:
The total energy comes out at -17.16 eV per cell. The formation energy without anion corrections comes out at -0.698 eV per atom. The total magnetization comes out at 0.000 μB/cell. The energy above the most stable polymorph in this dataset comes out at 25 meV/atom. The calculation puts the calculated volume at 202 Å³ per cell.

Unit cell a=4.766 b=4.767 c=10.646 alpha=77.20 beta=77.15 gamma=60.01
Fractional coordinates of all 5 atoms:
Br  0.045  0.953  0.918
Pb  0.583  0.493  0.303
Tl  0.474  0.386  0.631
Ba  0.321  0.230  0.089
Sn  0.873  0.783  0.436

=====

Record 9
The following is a DFT calculation (PBE) of crystalline BaTlSnPbBr at its relaxed geometry.

Summary:
The total energy comes out at -17.29 eV per cell. The formation energy without anion corrections comes out at -0.723 eV per atom. The total magnetization comes out at 0.000 μB/cell. The energy above the most stable polymorph in this dataset comes out at 0 meV/atom. The calculation puts the calculated volume at 202 Å³ per cell.

Unit cell a=4.798 b=4.797 c=10.492 alpha=89.98 beta=103.32 gamma=120.00
Fractional coordinates of all 5 atoms:
Pb  0.516  0.832  0.079
Ba  0.618  0.383  0.734
Br  0.167  0.657  0.559
Tl  0.318  0.233  0.279
Sn  0.094  0.121  0.947

=====

Record 10
The following is a DFT calculation (PBE) of crystalline BaTlSnPbBr at its relaxed geometry.

Summary:
The total energy comes out at -33.70 eV per cell. The formation energy without anion corrections comes out at -0.635 eV per atom. The total magnetization comes out at 0.000 μB/cell. The energy above the most stable polymorph in this dataset comes out at 88 meV/atom. The calculation puts the calculated volume at 403 Å³ per cell.

Unit cell a=9.252 b=4.701 c=9.747 alpha=90.00 beta=108.20 gamma=90.00
Fractional coordinates of all 10 atoms:
Sn  0.633  0.500  0.646
Sn  0.633  0.000  0.146
Tl  0.753  0.500  0.959
Tl  0.753  0.000  0.459
Br  0.234  0.000  0.394
Br  0.234  0.500  0.894
Pb  0.883  0.500  0.275
Pb  0.883  0.000  0.775
Ba  0.387  0.000  0.747
Ba  0.387  0.500  0.247

=====

Record 11
The following is a DFT calculation (PBE) of crystalline BaTlSnPbBr at its relaxed geometry.

Summary:
The total energy comes out at -50.94 eV per cell. The formation energy without anion corrections comes out at -0.661 eV per atom. The total magnetization comes out at 0.000 μB/cell. The energy above the most stable polymorph in this dataset comes out at 62 meV/atom. The calculation puts the calculated volume at 561 Å³ per cell.

Unit cell a=4.925 b=4.925 c=26.705 alpha=90.00 beta=90.00 gamma=120.00
Fractional coordinates of all 15 atoms:
Br  0.667  0.333  0.863
Br  0.333  0.667  0.196
Br  0.000  0.000  0.530
Sn  0.667  0.333  0.683
Sn  0.000  0.000  0.349
Sn  0.333  0.667  0.016
Ba  0.667  0.333  0.467
Ba  0.333  0.667  0.801
Ba  0.000  0.000  0.134
Tl  0.667  0.333  0.060
Tl  0.333  0.667  0.393
Tl  0.000  0.000  0.726
Pb  0.667  0.333  0.298
Pb  0.333  0.667  0.631
Pb  0.000  0.000  0.964

=====

Record 12
The following is a DFT calculation (PBE) of crystalline BaTlSnPbBr at its relaxed geometry.

Summary:
The total energy comes out at -16.76 eV per cell. The formation energy without anion corrections comes out at -0.617 eV per atom. The total magnetization comes out at 0.000 μB/cell. The energy above the most stable polymorph in this dataset comes out at 106 meV/atom. The calculation puts the calculated volume at 188 Å³ per cell.

Unit cell a=4.518 b=6.196 c=7.687 alpha=90.72 beta=107.06 gamma=112.45
Fractional coordinates of all 5 atoms:
Pb  0.112  0.412  0.758
Ba  0.429  0.456  0.346
Tl  0.902  0.834  0.922
Br  0.165  0.881  0.380
Sn  0.634  0.242  0.975